Entry 1:
Crystalline NdSmYAl at its relaxed geometry. Source: Alexandria, functional PBE-GGA.

Cell lengths 5.4518, 5.4518, 5.4518 Å; angles 60.00, 60.00, 60.00 degrees
Closest atoms and distances in Å follow each position.
Sites, in units of the cell vectors:
Y 0.7500 0.7500 0.7500  4 Nd 3.34, 4 Sm 3.34
Nd 0.0000 0.0000 0.0000  4 Al 3.34, 4 Y 3.34
Al 0.2500 0.2500 0.2500  4 Sm 3.34, 4 Nd 3.34
Sm 0.5000 0.5000 0.5000  4 Al 3.34, 4 Y 3.34

Calculated values
Its space group is F-43m. The energy relative to the elements is -0.042 eV per atom. As for the final energy: -19.86 eV per cell.


Entry 2:
Crystalline Nd2SmAl2Zn2 at its relaxed geometry. Source: Alexandria, functional PBE-GGA.

Cell lengths 4.5683, 4.5683, 9.7418 Å; angles 76.44, 76.44, 60.00 degrees
Closest atoms and distances in Å follow each position.
Sites, in units of the cell vectors:
Nd 0.1276 0.1276 0.6173  3 Al 3.14, 3 Zn 3.20, 3 Nd 3.44
Nd 0.8724 0.8724 0.3827  3 Al 3.14, 3 Zn 3.20, 3 Nd 3.44
Sm 0.0000 0.0000 0.0000  6 Zn 3.18, 6 Al 3.24
Al 0.7335 0.7335 0.7995  3 Zn 2.64
Al 0.2665 0.2665 0.2005  3 Zn 2.64
Zn 0.6033 0.6033 0.1902  3 Al 2.64
Zn 0.3967 0.3967 0.8098  3 Al 2.64

Calculated values
Its space group is R-3m. The energy relative to the elements is -0.311 eV per atom. As for the final energy: -26.47 eV per cell.


Entry 3:
Crystalline Nd3AlSn3 at its relaxed geometry. Source: Alexandria, functional PBE-GGA.

Cell lengths 4.5750, 6.2975, 14.8003 Å; angles 82.66, 81.11, 68.70 degrees
Closest atoms and distances in Å follow each position.
Sites, in units of the cell vectors:
Nd 0.5162 0.3474 0.6201  6 Sn 3.24-3.42, 3 Al 3.34-3.41
Nd 0.4838 0.6526 0.3799  6 Sn 3.24-3.42, 3 Al 3.34-3.41
Nd 0.2661 0.2371 0.2307  2 Al 3.20, 6 Sn 3.25-3.48
Nd 0.7339 0.7629 0.7693  2 Al 3.20, 6 Sn 3.25-3.48
Nd 0.3960 0.2862 0.9217  7 Sn 3.21-3.50
Nd 0.6040 0.7138 0.0783  7 Sn 3.21-3.50
Al 0.7702 0.0845 0.3752  4 Sn 2.80-3.01
Al 0.2298 0.9155 0.6248  4 Sn 2.80-3.01
Sn 0.8548 0.7487 0.5418  3 Al 2.80-3.01
Sn 0.1452 0.2513 0.4582  3 Al 2.80-3.01
Sn 0.1212 0.8337 0.9238  2 Sn 3.01-3.07, 5 Nd 3.21-3.26
Sn 0.8788 0.1663 0.0762  2 Sn 3.01-3.07, 5 Nd 3.21-3.26
Sn 0.9904 0.7906 0.2287  1 Al 2.85, 1 Sn 3.01
Sn 0.0096 0.2094 0.7713  1 Al 2.85, 1 Sn 3.01

Calculated values
Its space group is C2/m. The energy relative to the elements is -0.685 eV per atom. As for the final energy: -69.70 eV per cell.


Among the records above, which one has the lowest final energy? Nd3AlSn3


What did the first record say?
Crystalline NdSmYAl at its relaxed geometry. Source: Alexandria, functional PBE-GGA.

Cell lengths 5.4518, 5.4518, 5.4518 Å; angles 60.00, 60.00, 60.00 degrees
Closest atoms and distances in Å follow each position.
Sites, in units of the cell vectors:
Y 0.7500 0.7500 0.7500  4 Nd 3.34, 4 Sm 3.34
Nd 0.0000 0.0000 0.0000  4 Al 3.34, 4 Y 3.34
Al 0.2500 0.2500 0.2500  4 Sm 3.34, 4 Nd 3.34
Sm 0.5000 0.5000 0.5000  4 Al 3.34, 4 Y 3.34

Calculated values
Its space group is F-43m. The energy relative to the elements is -0.042 eV per atom. As for the final energy: -19.86 eV per cell.


What is the final energy in the third record? -69.70 eV per cell


The lowest final energy belongs to which entry? Nd3AlSn3